1.
A geometry-optimized Al2BBrN structure. Source: the Alexandria database, functional GGA-PBE.

Summary:
The volume comes out at 87.35 Å³/cell. The calculation puts the raw formation energy at 0.77 eV per atom. Its total magnetization is 0.00 μB per cell. The symmetry is P4/mmm. The total DFT energy (no corrections) is -20.30 eV/cell.

Lattice parameters (Å, degrees): 3.705 6.362 3.705 90.00 90.00 90.00
Element x y z (fractional)
Al 0.000 0.000 0.500
Al 0.500 0.000 0.000
N 0.000 0.000 0.000
Br 0.000 0.500 0.000
B 0.500 0.500 0.500


2.
A geometry-optimized AlBOsBr2 structure. Source: the Alexandria database, functional GGA-PBE.

Summary:
The volume comes out at 112.64 Å³/cell. The calculation puts the raw formation energy at 0.76 eV per atom. Its total magnetization is 0.00 μB per cell. The symmetry is P4/mmm. The total DFT energy (no corrections) is -21.21 eV/cell.

Lattice parameters (Å, degrees): 5.301 4.009 5.301 90.00 90.00 90.00
Element x y z (fractional)
Al 0.500 0.500 0.500
Br 0.000 0.000 0.500
Br 0.500 0.000 0.000
Os 0.000 0.000 0.000
B 0.000 0.500 0.000


3.
A geometry-optimized Rb2AlBBr6 structure. Source: the Alexandria database, functional GGA-PBE.

Summary:
The volume comes out at 297.08 Å³/cell. The calculation puts the raw formation energy at -0.80 eV per atom. Its total magnetization is 0.00 μB per cell. The symmetry is I4/mmm. The total DFT energy (no corrections) is -30.41 eV/cell.

Lattice parameters (Å, degrees): 7.481 7.481 7.494 60.06 60.06 90.00
Element x y z (fractional)
Rb 0.750 0.250 0.500
Br 0.240 0.240 0.520
Br 0.241 0.759 0.000
Rb 0.250 0.750 0.500
Br 0.759 0.241 0.000
Br 0.760 0.760 0.480
B 0.500 0.500 0.000
Br 0.241 0.241 0.000
Al 0.000 0.000 0.000
Br 0.759 0.759 0.000